Entry 1:
The following is a DFT calculation (PBE) of a geometry-optimized CeLuAlPt structure.

Cell and atoms, written as CIF:
```
data_CeLuAlPt
_space_group_name_H-M_alt 'P 1'
_space_group_IT_number 1
_space_group_name_Hall 'P 1'
_cell_length_a 5.041
_cell_length_b 5.041
_cell_length_c 5.041
_cell_angle_alpha 60.00
_cell_angle_beta 60.00
_cell_angle_gamma 60.00
loop_
_atom_site_label
_atom_site_type_symbol
_atom_site_fract_x
_atom_site_fract_y
_atom_site_fract_z
_atom_site_occupancy
Ce1 Ce 0.000 0.000 0.000 1
Lu1 Lu 0.500 0.500 0.500 1
Al1 Al 0.750 0.750 0.750 1
Pt1 Pt 0.250 0.250 0.250 1
```

Computed properties:
Its space group is F-43m (216). The total moment is 0.47 μB/f.u. The value obtained for the formation energy from the elements is -646 meV/atom. The calculation puts the total energy at -22.82 eV/cell.

***

Entry 2:
The following is a DFT calculation (PBE) of a geometry-optimized Mn2CrPt structure.

Cell and atoms, written as CIF:
```
data_Mn2CrPt
_space_group_name_H-M_alt 'P 1'
_space_group_IT_number 1
_space_group_name_Hall 'P 1'
_cell_length_a 9.062
_cell_length_b 9.062
_cell_length_c 9.062
_cell_angle_alpha 155.76
_cell_angle_beta 155.76
_cell_angle_gamma 34.55
loop_
_atom_site_label
_atom_site_type_symbol
_atom_site_fract_x
_atom_site_fract_y
_atom_site_fract_z
_atom_site_occupancy
Mn1 Mn 0.121 0.625 0.996 1
Mn2 Mn 0.375 0.371 0.496 1
Mn3 Mn 0.629 0.125 0.004 1
Mn4 Mn 0.875 0.879 0.504 1
Cr1 Cr 0.000 0.000 0.000 1
Cr2 Cr 0.750 0.250 0.500 1
Pt1 Pt 0.250 0.750 0.500 1
Pt2 Pt 0.500 0.500 0.000 1
```

Computed properties:
Its space group is I-42d (122). The total moment is 3.48 μB/f.u. The value obtained for the formation energy from the elements is 328 meV/atom. The calculation puts the total energy at -65.39 eV/cell.

***

Entry 3:
The following is a DFT calculation (PBE) of a geometry-optimized TbCdCu structure.

Cell and atoms, written as CIF:
```
data_TbCdCu
_space_group_name_H-M_alt 'P 1'
_space_group_IT_number 1
_space_group_name_Hall 'P 1'
_cell_length_a 6.016
_cell_length_b 6.016
_cell_length_c 6.016
_cell_angle_alpha 147.14
_cell_angle_beta 147.14
_cell_angle_gamma 47.16
loop_
_atom_site_label
_atom_site_type_symbol
_atom_site_fract_x
_atom_site_fract_y
_atom_site_fract_z
_atom_site_occupancy
Tb1 Tb 0.000 0.000 0.000 1
Cd1 Cd 0.704 0.704 0.000 1
Cu1 Cu 0.339 0.339 0.000 1
```

Computed properties:
Its space group is I4mm (107). The total moment is 0.00 μB/f.u. The value obtained for the formation energy from the elements is -151 meV/atom. The calculation puts the total energy at -10.10 eV/cell.